# ZrSc2PaCo2 (GGA-PBE, relaxed)
# - total DFT energy (no corrections) (eV/cell) = -183.3
data_ZrSc2PaCo2
_chemical_formula_sum 'Zr4 Sc8 Pa4 Co8'
_cell_length_a 6.505
_cell_length_b 11.643
_cell_length_c 6.657
_cell_angle_alpha 90.00
_cell_angle_beta 90.00
_cell_angle_gamma 90.00
_space_group_name_H-M_alt 'I b a m'
_space_group_IT_number 72
_space_group_name_Hall '-I 2 2c'
loop_
_atom_site_label
_atom_site_fract_x
_atom_site_fract_y
_atom_site_fract_z
Zr1 0.000 0.000 0.250
Sc1 0.242 0.196 0.000
Pa1 0.000 0.500 0.250
Co1 0.235 0.413 0.000


# Pr4CoBr2N (GGA-PBE, relaxed)
# - energy relative to the elements, uncorrected (eV/atom) = -0.989
data_Pr4CoBr2N
_chemical_formula_sum 'Pr4 Co1 Br2 N1'
_cell_length_a 7.005
_cell_length_b 3.791
_cell_length_c 8.023
_cell_angle_alpha 90.00
_cell_angle_beta 107.24
_cell_angle_gamma 90.00
_space_group_name_H-M_alt 'P 1 2/m 1'
_space_group_IT_number 10
loop_
_space_group_symop_operation_xyz
'x,y,z'
'-x,-y,-z'
'-x,y,-z'
'x,-y,z'
loop_
_atom_site_label
_atom_site_fract_x
_atom_site_fract_y
_atom_site_fract_z
Pr1 0.204 0.000 0.184
Pr2 0.267 0.500 0.812
Co1 0.500 0.000 0.000
Br1 0.000 0.000 0.500
Br2 0.500 0.500 0.500
N1 0.000 0.500 0.000


# SmHoGePt (GGA-PBE, relaxed)
# - energy above the lowest structure with this stoichiometry (kJ/mol of formula units) = 0
data_SmHoGePt
_chemical_formula_sum 'Sm2 Ho2 Ge2 Pt2'
_cell_length_a 4.270
_cell_length_b 3.997
_cell_length_c 10.954
_cell_angle_alpha 90.00
_cell_angle_beta 90.00
_cell_angle_gamma 90.00
_space_group_name_H-M_alt 'A m m 2'
_space_group_IT_number 38
loop_
_space_group_symop_operation_xyz
'x,y,z'
'-x,-y,z'
'-x,y,z'
'x,-y,z'
'x,y+1/2,z+1/2'
'-x,-y+1/2,z+1/2'
'-x,y+1/2,z+1/2'
'x,-y+1/2,z+1/2'
loop_
_atom_site_label
_atom_site_fract_x
_atom_site_fract_y
_atom_site_fract_z
Sm1 0.000 0.000 0.000
Ho1 0.500 0.000 0.279
Ge1 0.000 0.000 0.722
Pt1 0.500 0.000 0.555


no.,DOS(E_F) (states/eV/atom)
1,1.016
2,0.642
3,0.530